No. 1
ZnHIr2F | PBE | optimized geometry

Structure (CIF):
```
data_ZnHIr2F
_cell_length_a 4.9014
_cell_length_b 4.9014
_cell_length_c 2.8738
_cell_angle_alpha 90.00
_cell_angle_beta 90.00
_cell_angle_gamma 90.00
_symmetry_space_group_name_H-M 'P 4/m m m'
_symmetry_Int_Tables_number 123
_symmetry_space_group_name_Hall '-P 4 2'
loop_
_atom_site_label
_atom_site_fract_x
_atom_site_fract_y
_atom_site_fract_z
Zn1 0.0000 0.0000 0.0000
H1 0.0000 0.0000 0.5000
Ir1 0.0000 0.5000 0.0000
F1 0.5000 0.5000 0.5000
```

Properties
Magnetic moment (μB per formula unit): 2.5
Total DFT energy (no corrections) (eV per cell): -18.38
V (Å³/cell): 69.0

***

No. 2
GdDyScAl | PBE | optimized geometry

Structure (CIF):
```
data_GdDyScAl
_cell_length_a 7.4154
_cell_length_b 7.4154
_cell_length_c 7.4154
_cell_angle_alpha 90.00
_cell_angle_beta 90.00
_cell_angle_gamma 90.00
_symmetry_space_group_name_H-M 'F -4 3 m'
_symmetry_Int_Tables_number 216
_symmetry_space_group_name_Hall 'F -4 2 3'
loop_
_atom_site_label
_atom_site_fract_x
_atom_site_fract_y
_atom_site_fract_z
Gd1 0.0000 0.0000 0.0000
Dy1 0.0000 0.0000 0.5000
Sc1 0.2500 0.2500 0.7500
Al1 0.2500 0.2500 0.2500
```

Properties
Energy of formation (eV per atom): -0.115
Magnetic moment (μB per formula unit): 7.9
Total DFT energy (no corrections) (eV per cell): -116.86
V (Å³/cell): 407.8

***

No. 3
MnBe2TlCu | PBE | optimized geometry

Structure (CIF):
```
data_MnBe2TlCu
_cell_length_a 4.2960
_cell_length_b 4.2960
_cell_length_c 4.6247
_cell_angle_alpha 90.00
_cell_angle_beta 90.00
_cell_angle_gamma 90.00
_symmetry_space_group_name_H-M 'P 4/m m m'
_symmetry_Int_Tables_number 123
_symmetry_space_group_name_Hall '-P 4 2'
loop_
_atom_site_label
_atom_site_fract_x
_atom_site_fract_y
_atom_site_fract_z
Mn1 0.0000 0.0000 0.0000
Be1 0.0000 0.5000 0.0000
Tl1 0.5000 0.5000 0.5000
Cu1 0.0000 0.0000 0.5000
```

Properties
Energy of formation (eV per atom): 0.961
Magnetic moment (μB per formula unit): 2.7
Total DFT energy (no corrections) (eV per cell): -18.28
V (Å³/cell): 85.4

***

No. 4
NaCdSb | PBE | optimized geometry

Structure (CIF):
```
data_NaCdSb
_cell_length_a 4.1569
_cell_length_b 4.1569
_cell_length_c 9.1572
_cell_angle_alpha 90.00
_cell_angle_beta 90.00
_cell_angle_gamma 90.00
_symmetry_space_group_name_H-M 'I 4 m m'
_symmetry_Int_Tables_number 107
_symmetry_space_group_name_Hall 'I 4 -2'
loop_
_atom_site_label
_atom_site_fract_x
_atom_site_fract_y
_atom_site_fract_z
Na1 0.0000 0.0000 0.0000
Cd1 0.0000 0.0000 0.3199
Sb1 0.0000 0.0000 0.6707
```

Properties
Magnetic moment (μB per formula unit): 0.0
Formation energy without anion corrections (eV per atom): -0.094
Total DFT energy (no corrections) (eV per cell): -13.28
V (Å³/cell): 158.2

***

No. 5
Ni2SbSe2 | PBE | optimized geometry

Structure (CIF):
```
data_Ni2SbSe2
_cell_length_a 3.5612
_cell_length_b 3.5612
_cell_length_c 15.2271
_cell_angle_alpha 90.00
_cell_angle_beta 90.00
_cell_angle_gamma 90.00
_symmetry_space_group_name_H-M 'I 4/m m m'
_symmetry_Int_Tables_number 139
_symmetry_space_group_name_Hall '-I 4 2'
loop_
_atom_site_label
_atom_site_fract_x
_atom_site_fract_y
_atom_site_fract_z
Ni1 0.0000 0.5000 0.2500
Sb1 0.0000 0.0000 0.0000
Se1 0.0000 0.0000 0.3538
```

Properties
Magnetic moment (μB per formula unit): 0.0
Formation energy without anion corrections (eV per atom): -0.028
Total DFT energy (no corrections) (eV per cell): -45.59
V (Å³/cell): 193.1

***

No. 6
TbSm6Y8 | PBE | optimized geometry

Structure (CIF):
```
data_TbSm6Y8
_cell_length_a 9.7800
_cell_length_b 9.7800
_cell_length_c 17.9183
_cell_angle_alpha 90.00
_cell_angle_beta 90.00
_cell_angle_gamma 120.00
_symmetry_space_group_name_H-M 'R -3'
_symmetry_Int_Tables_number 148
_symmetry_space_group_name_Hall '-R 3'
loop_
_atom_site_label
_atom_site_fract_x
_atom_site_fract_y
_atom_site_fract_z
Tb1 0.0000 0.0000 0.0000
Sm1 0.0413 0.2870 0.6770
Y1 0.0000 0.0000 0.4148
Y2 0.0598 0.2454 0.1704
```

Properties
Energy of formation (eV per atom): 0.177
Magnetic moment (μB per formula unit): 0.0
Relative energy among the computed polymorphs (meV/atom): 56
Total DFT energy (no corrections) (eV per cell): -245.99
V (Å³/cell): 1484.2

***

No. 7
RbCo2Tc | PBE | optimized geometry

Structure (CIF):
```
data_RbCo2Tc
_cell_length_a 7.2279
_cell_length_b 7.2279
_cell_length_c 7.1942
_cell_angle_alpha 90.00
_cell_angle_beta 90.00
_cell_angle_gamma 90.00
_symmetry_space_group_name_H-M 'I -4 2 d'
_symmetry_Int_Tables_number 122
_symmetry_space_group_name_Hall 'I -4 2bw'
loop_
_atom_site_label
_atom_site_fract_x
_atom_site_fract_y
_atom_site_fract_z
Rb1 0.0000 0.0000 0.0000
Co1 0.1384 0.2500 0.6250
Tc1 0.0000 0.0000 0.5000
```

Properties
Energy of formation (eV per atom): 1.402
Magnetic moment (μB per formula unit): 1.9
Relative energy among the computed polymorphs (meV/atom): 0
Total DFT energy (no corrections) (eV per cell): -79.75
V (Å³/cell): 375.8

***

No. 8
TlBSb2F | PBE | optimized geometry

Structure (CIF):
```
data_TlBSb2F
_cell_length_a 4.5869
_cell_length_b 4.5869
_cell_length_c 6.4630
_cell_angle_alpha 90.00
_cell_angle_beta 90.00
_cell_angle_gamma 90.00
_symmetry_space_group_name_H-M 'P 4/m m m'
_symmetry_Int_Tables_number 123
_symmetry_space_group_name_Hall '-P 4 2'
loop_
_atom_site_label
_atom_site_fract_x
_atom_site_fract_y
_atom_site_fract_z
Tl1 0.0000 0.0000 0.0000
B1 0.0000 0.0000 0.5000
Sb1 0.0000 0.5000 0.5000
F1 0.5000 0.5000 0.0000
```

Properties
Magnetic moment (μB per formula unit): 0.0
Formation energy without anion corrections (eV per atom): 0.248
Total DFT energy (no corrections) (eV per cell): -17.92
V (Å³/cell): 136.0

***

No. 9
Ac2AlInSn | PBE | optimized geometry

Structure (CIF):
```
data_Ac2AlInSn
_cell_length_a 8.4324
_cell_length_b 4.7710
_cell_length_c 8.4404
_cell_angle_alpha 90.00
_cell_angle_beta 90.10
_cell_angle_gamma 90.00
_symmetry_space_group_name_H-M 'P 1 21/m 1'
_symmetry_Int_Tables_number 11
loop_
_symmetry_equiv_pos_as_xyz
'x,y,z'
'-x,-y,-z'
'-x,y+1/2,-z'
'x,-y+1/2,z'
loop_
_atom_site_label
_atom_site_fract_x
_atom_site_fract_y
_atom_site_fract_z
Ac1 0.2355 0.2500 0.0051
Ac2 0.2369 0.2500 0.4945
Al1 0.4119 0.7500 0.7519
In1 0.4157 0.7500 0.2492
Sn1 0.0886 0.7500 0.7494
```

Properties
Energy of formation (eV per atom): -0.447
Magnetic moment (μB per formula unit): 0.0
Total DFT energy (no corrections) (eV per cell): -41.87
V (Å³/cell): 339.6

***

No. 10
ZrCdIn | PBE | optimized geometry

Structure (CIF):
```
data_ZrCdIn
_cell_length_a 6.8502
_cell_length_b 6.8502
_cell_length_c 6.8502
_cell_angle_alpha 90.00
_cell_angle_beta 90.00
_cell_angle_gamma 90.00
_symmetry_space_group_name_H-M 'F -4 3 m'
_symmetry_Int_Tables_number 216
_symmetry_space_group_name_Hall 'F -4 2 3'
loop_
_atom_site_label
_atom_site_fract_x
_atom_site_fract_y
_atom_site_fract_z
Zr1 0.0000 0.0000 0.0000
Cd1 0.2500 0.2500 0.7500
In1 0.2500 0.2500 0.2500
```

Properties
Energy of formation (eV per atom): 0.285
Magnetic moment (μB per formula unit): 0.0
Total DFT energy (no corrections) (eV per cell): -45.38
V (Å³/cell): 321.4

***

No. 11
Ac3Er | PBE | optimized geometry

Structure (CIF):
```
data_Ac3Er
_cell_length_a 3.7706
_cell_length_b 3.7837
_cell_length_c 12.0241
_cell_angle_alpha 90.00
_cell_angle_beta 90.00
_cell_angle_gamma 90.00
_symmetry_space_group_name_H-M 'P m m 2'
_symmetry_Int_Tables_number 25
loop_
_symmetry_equiv_pos_as_xyz
'x,y,z'
'-x,-y,z'
'-x,y,z'
'x,-y,z'
loop_
_atom_site_label
_atom_site_fract_x
_atom_site_fract_y
_atom_site_fract_z
Ac1 0.0000 0.0000 0.0000
Ac2 0.0000 0.5000 0.2853
Ac3 0.5000 0.5000 0.7573
Er1 0.5000 0.0000 0.4992
```

Properties
Energy of formation (eV per atom): 0.243
Magnetic moment (μB per formula unit): 0.0
Relative energy among the computed polymorphs (meV/atom): 203
Total DFT energy (no corrections) (eV per cell): -15.92
V (Å³/cell): 171.5

***

No. 12
RbYCl2F | PBE | optimized geometry

Structure (CIF):
```
data_RbYCl2F
_cell_length_a 5.5070
_cell_length_b 5.5070
_cell_length_c 4.4560
_cell_angle_alpha 90.00
_cell_angle_beta 90.00
_cell_angle_gamma 90.00
_symmetry_space_group_name_H-M 'P 4/m m m'
_symmetry_Int_Tables_number 123
_symmetry_space_group_name_Hall '-P 4 2'
loop_
_atom_site_label
_atom_site_fract_x
_atom_site_fract_y
_atom_site_fract_z
Rb1 0.0000 0.0000 0.0000
Y1 0.5000 0.5000 0.5000
Cl1 0.0000 0.5000 0.5000
F1 0.5000 0.5000 0.0000
```

Properties
Magnetic moment (μB per formula unit): 0.0
Formation energy without anion corrections (eV per atom): -2.291
Total DFT energy (no corrections) (eV per cell): -24.45
V (Å³/cell): 135.1